# 1
# ThPPdO

Crystalline ThPPdO at its relaxed geometry (PBE, Alexandria via LeMat-Bulk).

Unit cell a=4.004 b=4.004 c=8.325 alpha=90.00 beta=90.00 gamma=90.00
Space group P4/nmm (No. 129, origin choice 2)
One atom of each set of equivalent atoms:
Th 0.250 0.250 0.162 [2 per cell]
P 0.250 0.250 0.674 [2 per cell]
Pd 0.250 0.750 0.500 [2 per cell]
O 0.250 0.750 0.000 [2 per cell]

The density of states at the Fermi level is 7.931 states/eV per cell.

# 2
# TiP2PdO

Crystalline TiP2PdO at its relaxed geometry (PBE, Alexandria via LeMat-Bulk).

Unit cell a=4.872 b=4.872 c=3.612 alpha=90.00 beta=90.00 gamma=90.00
Space group P4/mmm (No. 123)
One atom of each set of equivalent atoms:
Ti 0.000 0.000 0.000 [1 per cell]
P 0.000 0.500 0.000 [2 per cell]
Pd 0.500 0.500 0.500 [1 per cell]
O 0.000 0.000 0.500 [1 per cell]

The density of states at the Fermi level is 4.235 states/eV per cell.

# 3
# TiP2PdO

Crystalline TiP2PdO at its relaxed geometry (PBE, Alexandria via LeMat-Bulk).

Unit cell a=4.643 b=4.643 c=3.879 alpha=90.00 beta=90.00 gamma=90.00
Space group P4/mmm (No. 123)
One atom of each set of equivalent atoms:
Ti 0.000 0.000 0.000 [1 per cell]
P 0.000 0.500 0.500 [2 per cell]
Pd 0.500 0.500 0.500 [1 per cell]
O 0.500 0.500 0.000 [1 per cell]

The density of states at the Fermi level is 5.285 states/eV per cell.

# 4
# TiPPdO2

Crystalline TiPPdO2 at its relaxed geometry (PBE, Alexandria via LeMat-Bulk).

Unit cell a=3.699 b=3.699 c=5.526 alpha=90.00 beta=90.00 gamma=90.00
Space group P4/mmm (No. 123)
One atom of each set of equivalent atoms:
Ti 0.000 0.000 0.000 [1 per cell]
P 0.000 0.000 0.500 [1 per cell]
Pd 0.500 0.500 0.500 [1 per cell]
O 0.000 0.500 0.000 [2 per cell]

The density of states at the Fermi level is 5.021 states/eV per cell.

# 5
# TiPPdO2

Crystalline TiPPdO2 at its relaxed geometry (PBE, Alexandria via LeMat-Bulk).

Unit cell a=3.909 b=3.909 c=4.704 alpha=90.00 beta=90.00 gamma=90.00
Space group P4/mmm (No. 123)
One atom of each set of equivalent atoms:
Ti 0.000 0.000 0.000 [1 per cell]
P 0.500 0.500 0.000 [1 per cell]
Pd 0.500 0.500 0.500 [1 per cell]
O 0.000 0.500 0.500 [2 per cell]

The density of states at the Fermi level is 3.502 states/eV per cell.

# 6
# TlP2PdO8

Crystalline TlP2PdO8 at its relaxed geometry (PBE, Alexandria via LeMat-Bulk).

Unit cell a=4.7993 b=4.7993 c=24.7720 alpha=90.00 beta=90.00 gamma=120.00
Space group R-3 (No. 148, hexagonal axes)
One atom of each set of equivalent atoms:
Tl 0.0000 0.0000 0.0000 [3 per cell]
P 0.0000 0.0000 0.2344 [6 per cell]
Pd 0.0000 0.0000 0.5000 [3 per cell]
O 0.0000 0.0000 0.2969 [6 per cell]
O 0.0154 0.6502 0.8823 [18 per cell]

The density of states at the Fermi level is 22.271 states/eV per cell.

# 7
# TlPPdO2

Crystalline TlPPdO2 at its relaxed geometry (PBE, Alexandria via LeMat-Bulk).

Unit cell a=4.004 b=4.004 c=4.984 alpha=90.00 beta=90.00 gamma=90.00
Space group P4/mmm (No. 123)
One atom of each set of equivalent atoms:
Tl 0.000 0.000 0.000 [1 per cell]
P 0.500 0.500 0.000 [1 per cell]
Pd 0.500 0.500 0.500 [1 per cell]
O 0.000 0.500 0.500 [2 per cell]

The density of states at the Fermi level is 4.613 states/eV per cell.

# 8
# Tl2P4Pd3O14

Crystalline Tl2P4Pd3O14 at its relaxed geometry (PBE, Alexandria via LeMat-Bulk).

Unit cell a=10.130 b=14.383 c=10.441 alpha=90.00 beta=90.00 gamma=90.00
Space group Imma (No. 74)
One atom of each set of equivalent atoms:
Tl 0.000 0.017 0.193 [8 per cell]
P 0.219 0.151 0.513 [16 per cell]
Pd 0.000 0.000 0.500 [4 per cell]
Pd 0.000 0.250 0.959 [4 per cell]
Pd 0.250 0.250 0.250 [4 per cell]
O 0.132 0.143 0.954 [16 per cell]
O 0.143 0.076 0.588 [16 per cell]
O 0.169 0.250 0.569 [8 per cell]
O 0.187 0.147 0.369 [16 per cell]

Energy relative to the elements, uncorrected for the records above, in order: -8.08 -1.78 1.50 -5.55 -0.31 -16.76 0.61 -36.12 eV per formula unit
Total magnetic moment for the records above, in order: 0.00 0.00 0.00 0.53 0.19 0.00 1.16 0.00 Bohr magnetons per cell
E for the records above, in order: -7.765 -6.128 -5.473 -6.792 -5.745 -6.234 -4.455 -6.413 eV/atom